First-principles (PBE) data for a relaxed structure of CrSi2Se, as listed in Alexandria.

Values from the calculation:
Calculated total energy = -69.9 eV for the cell shown

a b c (Å): 2.9167 2.9167 27.7940
angles (deg): 90.00 90.00 120.00
Space group R3m (No. 160, hexagonal axes)
Inequivalent atoms, fractional coordinates:
1 Cr 0.0000 0.0000 0.0000 x3
2 Si 0.0000 0.0000 0.2673 x3
3 Si 0.0000 0.0000 0.5244 x3
4 Se 0.0000 0.0000 0.7270 x3